## i
DFT (PBE) results for a relaxed structure of Nb2SiTe4.

Properties
The theoretical density comes out at 6.201 g/cm³. The value obtained for the volume is 775.9 Å³ per cell. As for the space group: No. 14. For the total moment, the calculation gives 0.00 Bohr magnetons per cell.

a b c (Å): 6.400 7.967 15.827
angles (deg): 90.00 105.98 90.00
Atoms (fractional coordinates):
Nb: 0.146 0.037 0.250
Nb: 0.146 0.463 0.750
Nb: 0.354 0.712 0.250
Nb: 0.354 0.788 0.750
Nb: 0.646 0.212 0.250
Nb: 0.646 0.288 0.750
Nb: 0.854 0.537 0.250
Nb: 0.854 0.963 0.750
Si: 0.250 0.125 0.750
Si: 0.250 0.375 0.250
Si: 0.750 0.625 0.750
Si: 0.750 0.875 0.250
Te: 0.056 0.234 0.874
Te: 0.056 0.266 0.374
Te: 0.113 0.734 0.874
Te: 0.113 0.766 0.374
Te: 0.387 0.517 0.626
Te: 0.387 0.983 0.126
Te: 0.444 0.017 0.626
Te: 0.444 0.483 0.126
Te: 0.556 0.517 0.874
Te: 0.556 0.983 0.374
Te: 0.613 0.017 0.874
Te: 0.613 0.483 0.374
Te: 0.887 0.234 0.626
Te: 0.887 0.266 0.126
Te: 0.944 0.734 0.626
Te: 0.944 0.766 0.126

---

## ii
DFT (PBE) results for a relaxed structure of Nb2SiTe4.

Properties
The theoretical density comes out at 6.160 g/cm³. The value obtained for the volume is 390.5 Å³ per cell. As for the space group: No. 2. For the total moment, the calculation gives 0.00 Bohr magnetons per cell.

a b c (Å): 6.606 6.961 8.871
angles (deg): 94.77 106.08 90.04
Atoms (fractional coordinates):
Nb: 0.218 0.241 0.414
Nb: 0.281 0.758 0.585
Nb: 0.719 0.242 0.415
Nb: 0.782 0.759 0.586
Si: 0.000 0.000 0.500
Si: 0.500 0.500 0.500
Te: 0.067 0.411 0.680
Te: 0.124 0.932 0.830
Te: 0.378 0.360 0.170
Te: 0.434 0.870 0.321
Te: 0.566 0.130 0.679
Te: 0.622 0.640 0.830
Te: 0.876 0.068 0.170
Te: 0.933 0.589 0.320

---

## iii
DFT (PBE) results for a relaxed structure of Nb2SiTe4.

Properties
The theoretical density comes out at 5.810 g/cm³. The value obtained for the volume is 207.0 Å³ per cell. As for the space group: No. 2. For the total moment, the calculation gives 0.00 Bohr magnetons per cell.

a b c (Å): 4.470 6.479 7.533
angles (deg): 97.15 106.51 91.72
Atoms (fractional coordinates):
Nb: 0.246 0.129 0.000
Nb: 0.754 0.871 0.000
Si: 0.000 0.500 0.000
Te: 0.143 0.735 0.750
Te: 0.385 0.812 0.250
Te: 0.615 0.188 0.750
Te: 0.857 0.265 0.250

---

What are the relative energies? In eV/atom: i 0.000; ii 0.205; iii 0.273.

---

## i
DFT (PBE) results for a relaxed structure of Nb3SiTe.

Properties
The theoretical density comes out at 5.779 g/cm³. The value obtained for the volume is 124.8 Å³ per cell. As for the space group: No. 221. For the total moment, the calculation gives 0.00 Bohr magnetons per cell.

a b c (Å): 4.998 4.998 4.998
angles (deg): 90.00 90.00 90.00
Atoms (fractional coordinates):
Nb: 0.000 0.000 0.500
Nb: 0.000 0.500 0.000
Nb: 0.500 0.000 0.000
Si: 0.500 0.500 0.500
Te: 0.000 0.000 0.000

---

## ii
DFT (PBE) results for a relaxed structure of Nb3SiTe.

Properties
The theoretical density comes out at 6.854 g/cm³. The value obtained for the volume is 105.2 Å³ per cell. As for the space group: No. 221. For the total moment, the calculation gives 0.00 Bohr magnetons per cell.

a b c (Å): 4.721 4.721 4.721
angles (deg): 90.00 90.00 90.00
Atoms (fractional coordinates):
Nb: 0.000 0.000 0.500
Nb: 0.000 0.500 0.000
Nb: 0.500 0.000 0.000
Si: 0.000 0.000 0.000
Te: 0.500 0.500 0.500

---

What are the relative energies? In eV/atom: i 0.959; ii 0.000.

---

## i
DFT (PBE) results for a relaxed structure of ThNbSi2.

Properties
The theoretical density comes out at 7.194 g/cm³. The value obtained for the volume is 176.0 Å³ per cell. As for the space group: No. 38. For the total moment, the calculation gives 0.00 Bohr magnetons per cell.

a b c (Å): 3.682 6.124 7.802
angles (deg): 90.00 90.00 90.00
Atoms (fractional coordinates):
Th: 0.000 0.000 0.000
Th: 0.000 0.500 0.500
Nb: 0.500 0.000 0.581
Nb: 0.500 0.500 0.081
Si: 0.500 0.194 0.292
Si: 0.500 0.306 0.792
Si: 0.500 0.694 0.792
Si: 0.500 0.806 0.292

---

## ii
DFT (PBE) results for a relaxed structure of ThNbSi2.

Properties
The theoretical density comes out at 7.360 g/cm³. The value obtained for the volume is 258.0 Å³ per cell. As for the space group: No. 166. For the total moment, the calculation gives 0.00 Bohr magnetons per cell.

a b c (Å): 3.905 3.905 19.531
angles (deg): 90.00 90.00 120.00
Atoms (fractional coordinates):
Th: 0.000 0.000 0.000
Th: 0.333 0.667 0.667
Th: 0.667 0.333 0.333
Nb: 0.000 0.000 0.500
Nb: 0.333 0.667 0.167
Nb: 0.667 0.333 0.833
Si: 0.000 0.000 0.236
Si: 0.000 0.000 0.764
Si: 0.333 0.667 0.431
Si: 0.333 0.667 0.902
Si: 0.667 0.333 0.098
Si: 0.667 0.333 0.569

---

What are the relative energies? In eV/atom: i 0.176; ii 0.000.

---

## i
DFT (PBE) results for a relaxed structure of TiNbSi2.

Properties
The theoretical density comes out at 4.994 g/cm³. The value obtained for the volume is 262.0 Å³ per cell. As for the space group: No. 122. For the total moment, the calculation gives 0.00 Bohr magnetons per cell.

a b c (Å): 6.857 6.857 5.571
angles (deg): 90.00 90.00 90.00
Atoms (fractional coordinates):
Ti: 0.000 0.000 0.000
Ti: 0.000 0.500 0.250
Ti: 0.500 0.000 0.750
Ti: 0.500 0.500 0.500
Nb: 0.000 0.000 0.500
Nb: 0.000 0.500 0.750
Nb: 0.500 0.000 0.250
Nb: 0.500 0.500 0.000
Si: 0.245 0.750 0.125
Si: 0.250 0.245 0.875
Si: 0.250 0.255 0.375
Si: 0.255 0.750 0.625
Si: 0.745 0.250 0.625
Si: 0.750 0.745 0.375
Si: 0.750 0.755 0.875
Si: 0.755 0.250 0.125

---

## ii
DFT (PBE) results for a relaxed structure of TiNbSi2.

Properties
The theoretical density comes out at 4.887 g/cm³. The value obtained for the volume is 200.7 Å³ per cell. As for the space group: No. 166. For the total moment, the calculation gives 0.00 Bohr magnetons per cell.

a b c (Å): 3.594 3.594 17.942
angles (deg): 90.00 90.00 120.00
Atoms (fractional coordinates):
Ti: 0.000 0.000 0.000
Ti: 0.333 0.667 0.667
Ti: 0.667 0.333 0.333
Nb: 0.000 0.000 0.500
Nb: 0.333 0.667 0.167
Nb: 0.667 0.333 0.833
Si: 0.000 0.000 0.252
Si: 0.000 0.000 0.748
Si: 0.333 0.667 0.415
Si: 0.333 0.667 0.919
Si: 0.667 0.333 0.081
Si: 0.667 0.333 0.585

---

## iii
DFT (PBE) results for a relaxed structure of TiNbSi2.

Properties
The theoretical density comes out at 5.371 g/cm³. The value obtained for the volume is 121.8 Å³ per cell. As for the space group: No. 26. For the total moment, the calculation gives 0.00 Bohr magnetons per cell.

a b c (Å): 3.697 5.037 6.540
angles (deg): 90.00 90.00 90.00
Atoms (fractional coordinates):
Ti: 0.000 0.122 0.000
Ti: 0.000 0.878 0.500
Nb: 0.500 0.376 0.649
Nb: 0.500 0.624 0.149
Si: 0.000 0.388 0.368
Si: 0.000 0.612 0.868
Si: 0.500 0.105 0.279
Si: 0.500 0.895 0.779

---

What are the relative energies? In eV/atom: i 0.502; ii 0.328; iii 0.000.

---

## i
DFT (PBE) results for a relaxed structure of TiNbSi3.

Properties
The theoretical density comes out at 3.503 g/cm³. The value obtained for the volume is 106.7 Å³ per cell. As for the space group: No. 221. For the total moment, the calculation gives 0.00 Bohr magnetons per cell.

a b c (Å): 4.743 4.743 4.743
angles (deg): 90.00 90.00 90.00
Atoms (fractional coordinates):
Ti: 0.000 0.000 0.000
Nb: 0.500 0.500 0.500
Si: 0.000 0.500 0.500
Si: 0.500 0.000 0.500
Si: 0.500 0.500 0.000

---

## ii
DFT (PBE) results for a relaxed structure of TiNbSi3.

Properties
The theoretical density comes out at 3.976 g/cm³. The value obtained for the volume is 94.0 Å³ per cell. As for the space group: No. 221. For the total moment, the calculation gives 0.00 Bohr magnetons per cell.

a b c (Å): 4.546 4.546 4.546
angles (deg): 90.00 90.00 90.00
Atoms (fractional coordinates):
Ti: 0.000 0.000 0.000
Nb: 0.500 0.500 0.500
Si: 0.000 0.000 0.500
Si: 0.000 0.500 0.000
Si: 0.500 0.000 0.000

---

What are the relative energies? In eV/atom: i 0.000; ii 0.049.